# NaCd2In6 PBE-GGA relaxed
data_NaCd2In6
_chemical_formula_sum 'Na2 Cd4 In12'
_cell_length_a 9.997
_cell_length_b 9.997
_cell_length_c 4.667
_cell_angle_alpha 90.00
_cell_angle_beta 90.00
_cell_angle_gamma 90.00
_space_group_name_H-M_alt 'P 1'
_space_group_IT_number 1
loop_
_space_group_symop_operation_xyz
'x,y,z'
loop_
_atom_site_label
_atom_site_type_symbol
_atom_site_fract_x
_atom_site_fract_y
_atom_site_fract_z
Na1 Na 0.000 0.000 0.000
Na2 Na 0.500 0.500 0.500
Cd1 Cd 0.167 0.167 0.500
Cd2 Cd 0.333 0.667 0.000
Cd3 Cd 0.667 0.333 0.000
Cd4 Cd 0.833 0.833 0.500
In1 In 0.000 0.334 0.000
In2 In 0.000 0.666 0.000
In3 In 0.166 0.500 0.500
In4 In 0.167 0.833 0.500
In5 In 0.333 0.333 0.000
In6 In 0.334 0.000 0.000
In7 In 0.500 0.166 0.500
In8 In 0.500 0.834 0.500
In9 In 0.666 0.000 0.000
In10 In 0.667 0.667 0.000
In11 In 0.833 0.167 0.500
In12 In 0.834 0.500 0.500
# Polymorph energy (0 for the lowest one), meV per atom: 0
# Total energy, eV/cell: -39.657
# Formation energy, eV per atom: -0.03



# Na2Cd4In3 PBE-GGA relaxed
data_Na2Cd4In3
_chemical_formula_sum 'Na4 Cd8 In6'
_cell_length_a 9.392
_cell_length_b 9.392
_cell_length_c 8.672
_cell_angle_alpha 90.00
_cell_angle_beta 90.00
_cell_angle_gamma 140.89
_space_group_name_H-M_alt 'P 1'
_space_group_IT_number 1
loop_
_space_group_symop_operation_xyz
'x,y,z'
loop_
_atom_site_label
_atom_site_type_symbol
_atom_site_fract_x
_atom_site_fract_y
_atom_site_fract_z
Na1 Na 0.093 0.907 0.891
Na2 Na 0.407 0.593 0.391
Na3 Na 0.593 0.407 0.609
Na4 Na 0.907 0.093 0.109
Cd1 Cd 0.169 0.831 0.514
Cd2 Cd 0.176 0.324 0.750
Cd3 Cd 0.324 0.176 0.250
Cd4 Cd 0.331 0.669 0.014
Cd5 Cd 0.669 0.331 0.986
Cd6 Cd 0.676 0.824 0.750
Cd7 Cd 0.824 0.676 0.250
Cd8 Cd 0.831 0.169 0.486
In1 In 0.000 0.000 0.500
In2 In 0.005 0.495 0.750
In3 In 0.495 0.005 0.250
In4 In 0.500 0.500 0.000
In5 In 0.505 0.995 0.750
In6 In 0.995 0.505 0.250
# Polymorph energy (0 for the lowest one), meV per atom: 11
# Total energy, eV/cell: -30.052
# Formation energy, eV per atom: -0.06



Question: Which of these has the highest total energy?
Answer: Na2Cd4In3



Question: What is the formation energy in the first record?
Answer: -0.03 eV per atom



Question: Among the records above, which one has the highest polymorph energy (0 for the lowest one)?
Answer: Na2Cd4In3